Bi2As2BrO6 | PBE | optimized geometry

Summary:
- Formation energy from raw total energies: -1109 kJ/mol of formula units

a = 5.5101 Å, b = 7.0339 Å, c = 7.2440 Å
α = 117.71°, β = 112.26°, γ = 90.18°
Space group P-1 (No. 2)
Symmetry-distinct sites (fractional):
Bi  0.1859  0.2572  0.3720 [2 per cell]
As  0.1240  0.6877  0.2485 [2 per cell]
Br  0.5000  0.0000  0.0000 [1 per cell]
O  0.0651  0.4178  0.6534 [2 per cell]
O  0.2136  0.9717  0.4271 [2 per cell]
O  0.4099  0.5829  0.3488 [2 per cell]